# Nd2AlInAu6 GGA-PBE optimized geometry
# V	22.72	A^3/atom
# calculated total energy	-4.064	eV per atom
# theoretical density	11.78	Mg/m³
# spin magnetization	0.000	μB per atom
data_Nd2AlInAu6
_space_group_name_H-M_alt 'P -1'
_space_group_IT_number 2
_space_group_name_Hall '-P 1'
_cell_length_a 5.567
_cell_length_b 6.870
_cell_length_c 6.876
_cell_angle_alpha 78.99
_cell_angle_beta 67.45
_cell_angle_gamma 69.69
loop_
_atom_site_label
_atom_site_type_symbol
_atom_site_fract_x
_atom_site_fract_y
_atom_site_fract_z
Nd1 Nd 0.004 0.244 0.247
Al1 Al 0.500 0.500 0.000
In1 In 0.500 0.000 0.500
Au1 Au 0.001 0.742 0.207
Au2 Au 0.364 0.423 0.400
Au3 Au 0.486 0.822 0.166